DFT (PBE) results for a geometry-optimized NdErPt4 structure.

## Properties
- D(E_F) (states/eV/atom) = 0.2340
- formation enthalpy at 0 K (eV/atom) = -1.09

a = 5.4679 Å, b = 5.4679 Å, c = 5.4679 Å
α = 60.00°, β = 60.00°, γ = 60.00°
Positions (direct):
Nd 0.0000 0.0000 0.0000
Pt 0.6246 0.6246 0.1263
Pt 0.6246 0.1263 0.6246
Pt 0.6246 0.6246 0.6246
Pt 0.1263 0.6246 0.6246
Er 0.2500 0.2500 0.2500

DFT (PBE) results for a geometry-optimized Ag5Pd3Au2 structure.

## Properties
- D(E_F) (states/eV/atom) = 0.4829
- formation enthalpy at 0 K (eV/atom) = 0.23
- relative energy among the computed polymorphs (eV per atom) = 0.288

a = 5.2059 Å, b = 8.9996 Å, c = 8.9996 Å
α = 98.72°, β = 73.19°, γ = 73.19°
Positions (direct):
Ag 0.2500 0.5000 0.5000
Ag 0.7500 0.5000 0.5000
Ag 0.4996 0.7504 0.7504
Ag 0.0004 0.2496 0.2496
Ag 0.5004 0.2496 0.2496
Ag 0.9996 0.7504 0.7504
Ag 0.2443 0.4356 0.0759
Ag 0.7557 0.5644 0.9241
Ag 0.7443 0.0759 0.4356
Ag 0.2557 0.9241 0.5644
Pd 0.2500 0.0000 0.0000
Pd 0.7500 0.0000 0.0000
Pd 0.4207 0.4080 0.7505
Pd 0.5793 0.5920 0.2495
Pd 0.9207 0.7505 0.4080
Pd 0.0793 0.2495 0.5920
Au 0.0804 0.7529 0.0863
Au 0.9196 0.2471 0.9137
Au 0.5804 0.0863 0.7529
Au 0.4196 0.9137 0.2471

no.,M_tot (μB/cell)
1,0.000
2,0.000